A geometry-optimized BSb2HI structure, computed with PBE.

Cell and atoms, written as POSCAR:
```
BSb2HI
1.0
-0.3201 4.6942 1.1331
-2.2535 0.8592 -4.1959
-4.5001 -0.8483 2.2432
I Sb B H
1 2 1 1
Cartesian
-2.2501 -0.4242 1.1216
-1.1267 0.4296 -2.0979
-0.1600 2.3471 0.5665
0.0000 0.0000 0.0000
-3.5368 2.3525 -0.4098
```

Calculated values
- mass density (g/cm3) = 5.31
- final energy (eV per atom) = -2.758
- DOS at the Fermi energy (states/eV per atom) = 0.718
- crystal system = tetragonal

=====

A geometry-optimized Tb8IrPd2 structure, computed with PBE.

Cell and atoms, written as POSCAR:
```
Tb8IrPd2
1.0
5.0905 0.0000 0.0000
0.0000 6.7398 0.2744
-2.5452 -2.5657 8.3377
Tb Ir Pd
8 1 2
Cartesian
0.0000 1.6695 7.0152
2.5452 5.7339 3.0085
2.5452 3.0383 5.1295
2.5452 -0.9866 7.8520
0.0000 1.1358 3.4826
0.0000 -1.5599 5.6036
2.5452 2.5046 1.5968
0.0000 5.1607 0.7601
2.5452 0.0000 0.0000
2.5452 0.2320 5.2675
0.0000 3.9421 3.3446
```

Calculated values
- mass density (g/cm3) = 9.61
- formation enthalpy at 0 K (meV per atom) = -493
- final energy (eV per atom) = -5.610
- DOS at the Fermi energy (states/eV per atom) = 1.133
- crystal system = monoclinic

=====

A geometry-optimized Cr4Tc structure, computed with PBE.

Cell and atoms, written as POSCAR:
```
Cr4Tc
1.0
-1.8389 1.8389 4.8912
1.8389 -1.8389 4.8912
1.8389 1.8389 -4.8912
Cr Tc
4 1
Cartesian
1.8389 0.0000 2.4456
0.0000 0.0000 5.9888
0.0000 0.0000 3.7936
0.0000 1.8389 2.4456
0.0000 0.0000 0.0000
```

Calculated values
- mass density (g/cm3) = 7.68
- formation enthalpy at 0 K (meV per atom) = 701
- final energy (eV per atom) = -9.071
- DOS at the Fermi energy (states/eV per atom) = 1.142
- crystal system = tetragonal

=====

A geometry-optimized Nb3Co3HIr2 structure, computed with PBE.

Cell and atoms, written as POSCAR:
```
Nb3Co3HIr2
1.0
3.0295 0.0000 0.0000
0.0000 6.8109 0.0000
0.0000 -3.4055 5.8984
Nb Co H Ir
3 3 1 2
Cartesian
0.0000 -1.2263 2.1241
0.0000 2.1791 3.7743
0.0000 2.4527 0.0000
1.5148 5.3260 0.0000
1.5148 0.7425 1.2860
1.5148 -2.6630 4.6124
0.0000 0.0000 0.0000
1.5148 0.0000 3.9323
1.5148 3.4055 1.9661
```

Calculated values
- mass density (g/cm3) = 11.47
- final energy (eV per atom) = -8.170
- DOS at the Fermi energy (states/eV per atom) = 0.636
- crystal system = hexagonal

=====

A geometry-optimized La3TeS structure, computed with PBE.

Cell and atoms, written as POSCAR:
```
La3TeS
1.0
-2.3795 -3.7556 3.1580
4.8310 -2.4079 0.7766
0.8596 3.1364 4.3777
S Te La
1 1 3
Cartesian
0.0000 0.0000 0.0000
1.6555 -1.5136 4.1561
2.4155 -1.2040 0.3883
0.4298 1.5682 2.1888
-1.1898 -1.8778 1.5790
```

Calculated values
- mass density (g/cm3) = 5.90
- ΔE_f (raw) (eV per atom) = -1.073
- final energy (eV per atom) = -5.484
- DOS at the Fermi energy (states/eV per atom) = 1.678
- crystal system = cubic

=====

A geometry-optimized PaZn4Re structure, computed with PBE.

Cell and atoms, written as POSCAR:
```
PaZn4Re
1.0
-3.0657 -3.8858 -1.4786
1.9402 -4.7562 -0.5470
-1.2708 -3.7103 3.3620
Re Zn Pa
1 4 1
Cartesian
0.0000 0.0000 0.0000
-0.8591 -5.8621 -0.8600
-2.4797 -5.3343 1.1129
-1.5005 -7.7347 0.8368
0.0468 -5.7735 1.5831
-0.5991 -3.0881 0.3341
```

Calculated values
- mass density (g/cm3) = 11.57
- formation enthalpy at 0 K (meV per atom) = 8
- final energy (eV per atom) = -4.498
- DOS at the Fermi energy (states/eV per atom) = 0.280
- crystal system = cubic

=====

A geometry-optimized Ta3Br structure, computed with PBE.

Cell and atoms, written as POSCAR:
```
Ta3Br
1.0
4.2158 0.0000 0.0000
0.0000 4.2158 0.0000
0.0000 0.0000 4.2158
Br Ta
1 3
Cartesian
0.0000 0.0000 0.0000
0.0000 2.1079 2.1079
2.1079 0.0000 2.1079
2.1079 2.1079 0.0000
```

Calculated values
- mass density (g/cm3) = 13.80
- ΔE_f (raw) (eV per atom) = 0.822
- final energy (eV per atom) = -8.485
- DOS at the Fermi energy (states/eV per atom) = 0.609
- crystal system = cubic

=====

A geometry-optimized H3RhO structure, computed with PBE.

Cell and atoms, written as POSCAR:
```
H3RhO
1.0
-1.4113 -1.0854 2.8734
-1.7830 -2.2854 -1.7390
2.5011 -2.2417 0.3816
H Rh O
3 1 1
Cartesian
-0.8915 -1.1427 -0.8695
1.2505 -1.1208 0.1908
-0.7056 -0.5427 1.4367
0.0000 0.0000 0.0000
-0.3466 -2.8062 0.7580
```

Calculated values
- mass density (g/cm3) = 5.24
- final energy (eV per atom) = -3.788
- DOS at the Fermi energy (states/eV per atom) = 0.132
- crystal system = cubic

=====

A geometry-optimized RbHfO2F structure, computed with PBE.

Cell and atoms, written as POSCAR:
```
RbHfO2F
1.0
-1.2399 3.9477 -0.0130
-3.7401 -1.1704 1.3281
1.3335 0.4325 4.1366
Hf O Rb F
1 2 1 1
Cartesian
0.0000 0.0000 0.0000
-1.8700 -0.5852 0.6640
-0.6200 1.9738 -0.0065
-1.8233 1.6049 2.7258
0.6668 0.2163 2.0683
```

Calculated values
- mass density (g/cm3) = 6.99
- ΔE_f (raw) (eV per atom) = -3.036
- final energy (eV per atom) = -7.578
- DOS at the Fermi energy (states/eV per atom) = 0.000
- crystal system = tetragonal

=====

A geometry-optimized Gd2InHg structure, computed with PBE.

Cell and atoms, written as POSCAR:
```
Gd2InHg
1.0
3.7424 0.0000 0.0000
0.0000 3.7424 0.0000
0.0000 0.0000 7.6539
Gd Hg In
2 1 1
Cartesian
0.0000 0.0000 5.6984
0.0000 0.0000 1.9555
1.8712 1.8712 3.8270
1.8712 1.8712 0.0000
```

Calculated values
- mass density (g/cm3) = 9.76
- formation enthalpy at 0 K (meV per atom) = -516
- final energy (eV per atom) = -8.317
- DOS at the Fermi energy (states/eV per atom) = 0.595
- crystal system = tetragonal

=====

A geometry-optimized Cs3Zn5F12 structure, computed with PBE.

Cell and atoms, written as POSCAR:
```
Cs3Zn5F12
1.0
12.2931 0.0000 0.0000
-4.0977 11.5901 0.0000
-4.0977 -5.7950 10.0373
Cs Zn F
12 20 48
Cartesian
7.1710 3.6219 1.2547
7.1710 7.9682 1.2547
-1.0244 5.0706 6.2733
1.0244 -0.7244 3.7640
9.2198 0.0000 2.5093
1.0244 5.7950 2.5093
3.0733 0.0000 7.5280
-5.1221 5.7950 7.5280
3.0733 6.5194 6.2733
5.1221 0.7244 3.7640
-3.0733 -2.1731 8.7826
-3.0733 2.1731 8.7826
-1.0244 2.8975 2.5093
-2.0489 5.7950 0.0000
0.0000 0.0000 0.0000
3.0733 2.1731 1.2547
4.0977 -2.8975 5.0186
4.0977 5.7950 0.0000
-3.0733 6.5194 3.7640
5.1221 -3.6219 8.7826
5.1221 5.0706 3.7640
1.0244 -2.8975 7.5280
3.0733 8.6925 2.5093
2.0489 2.8975 5.0186
6.1466 0.0000 0.0000
-2.0489 -2.8975 5.0186
-1.0244 0.7244 6.2733
-1.0244 9.4169 1.2547
-4.0977 2.8975 5.0186
7.1710 -0.7244 6.2733
1.0244 3.6219 8.7826
5.1221 2.8975 7.5280
3.8605 -4.6253 9.9714
0.2372 3.4253 3.9727
-2.8886 2.7958 3.2348
4.9374 1.4940 0.9801
1.5499 3.8894 6.8684
-3.1503 5.9348 1.8498
-1.2091 7.0968 4.2148
-2.8886 10.0960 0.9801
4.5967 -3.8894 6.8684
5.1992 5.6552 1.8498
6.3838 3.5395 4.0386
2.2861 4.6253 9.9714
-3.5987 4.9954 4.9527
2.9962 4.1231 0.8038
-4.3350 8.0506 4.0386
2.2861 -2.3697 6.0646
-0.4990 1.1060 1.7839
2.9962 7.3271 1.0460
4.9374 8.7943 3.2348
-0.9474 4.2630 1.0460
1.5499 -4.6890 8.2534
3.2580 4.4933 4.2148
5.6476 6.5946 4.9527
5.0451 -1.6719 9.2335
0.8397 1.3017 5.8225
-1.5499 -0.7996 5.0846
-0.9474 7.4669 0.8038
-0.8397 -2.9993 6.8025
2.5478 10.4840 1.7839
5.0451 1.5321 8.9913
1.1015 -1.5321 8.9913
1.8116 8.1648 3.9727
4.5967 4.6890 8.2534
8.4327 -2.2556 5.9987
7.6964 0.7996 5.0846
1.8116 1.1697 0.0659
1.1015 1.6719 9.2335
-0.4990 9.6844 3.1688
-1.1015 0.1398 8.1875
-2.2861 2.2556 5.9987
6.9863 -4.3010 9.0572
5.3068 -1.3017 5.8225
-0.8397 4.3010 9.0572
7.2480 -0.1398 8.1875
2.5478 1.9056 3.1688
6.9863 2.9993 6.8025
3.8605 2.3697 6.0646
0.2372 10.4203 0.0659
```

Calculated values
- mass density (g/cm3) = 4.43
- ΔE_f (raw) (eV per atom) = -2.293
- final energy (eV per atom) = -3.862
- DOS at the Fermi energy (states/eV per atom) = 0.060
- crystal system = cubic

=====

A geometry-optimized UInGaPt structure, computed with PBE.

Cell and atoms, written as POSCAR:
```
UInGaPt
1.0
-2.3394 3.0804 -2.9570
-0.5563 -1.0969 -4.7109
-4.4034 -1.1543 -1.7272
U Ga Pt In
1 1 1 1
Cartesian
-1.8248 0.2073 -2.3488
-3.6495 0.4146 -4.6976
0.0000 0.0000 0.0000
-5.4743 0.6219 -7.0464
```

Calculated values
- mass density (g/cm3) = 12.57
- formation enthalpy at 0 K (meV per atom) = -341
- final energy (eV per atom) = -6.115
- DOS at the Fermi energy (states/eV per atom) = 1.993
- crystal system = cubic